Density functional theory data (PBE) for crystalline Ag4Au3 at its relaxed geometry.

- ΔH_f (0 K): 0.4 meV/atom
- ρ: 13.37 Mg/m³
- Crystal system: tetragonal
- ΔE to the lowest computed polymorph: 4.3 kJ per mole of atoms
- Symmetry: No. 139

The structure in POSCAR format:
```
Ag4Au3
1.0
10.685 -0.035 0.000
9.558 4.778 0.000
-10.121 -2.371 2.472
Au Ag
3 4
Cartesian
14.453 3.386 0.000
0.000 0.000 0.000
5.790 1.357 0.000
2.897 0.679 0.000
8.674 2.032 0.000
17.346 4.064 0.000
11.569 2.710 0.000
```

Density functional theory data (PBE) for crystalline GdTiCo2 at its relaxed geometry.

- ΔH_f (0 K): -205.6 meV/atom
- ρ: 8.49 Mg/m³
- Crystal system: tetragonal
- ΔE to the lowest computed polymorph: 0.0 kJ per mole of atoms
- Symmetry: No. 123

The structure in POSCAR format:
```
GdTiCo2
1.0
3.076 0.000 0.000
0.000 3.076 0.000
0.000 0.000 6.680
Co Ti Gd
2 1 1
Cartesian
0.000 0.000 5.335
0.000 0.000 1.346
1.538 1.538 0.000
1.538 1.538 3.340
```

Density functional theory data (PBE) for crystalline KAc2Nd at its relaxed geometry.

- ΔH_f (0 K): 150.0 meV/atom
- ρ: 5.67 Mg/m³
- Crystal system: trigonal
- Symmetry: No. 166

The structure in POSCAR format:
```
KAc2Nd
1.0
-1.421 3.300 -1.554
-3.307 1.557 1.400
5.886 9.174 9.169
Ac K Nd
2 1 1
Cartesian
-2.607 7.005 2.468
3.764 7.026 6.547
0.000 0.000 0.000
0.579 7.015 4.508
```

Density functional theory data (PBE) for crystalline KBaAs2 at its relaxed geometry.

- ΔH_f (0 K): -685.7 meV/atom
- ρ: 4.05 Mg/m³
- Crystal system: orthorhombic
- ΔE to the lowest computed polymorph: 0.0 kJ per mole of atoms
- Symmetry: No. 38

The structure in POSCAR format:
```
KBaAs2
1.0
-0.595 4.635 0.404
-0.599 -0.508 4.953
5.298 0.400 3.218
As Ba K
2 1 1
Cartesian
0.965 2.383 1.313
-0.003 -0.082 0.943
1.766 -0.095 3.695
3.726 2.268 6.710
```

| no. | final energy (eV per atom) |
| --- | --- |
| 1 | -3.03 |
| 2 | -9.25 |
| 3 | -3.37 |
| 4 | -3.77 |